Compound: Te16Mo9Ru3
Source: Alexandria via LeMat-Bulk
Functional: PBEsol
Structure: optimized geometry

a b c (Å): 6.9720 9.6497 10.1449
angles (deg): 90.48 91.13 94.67
Atoms (fractional coordinates):
Te 0.8826 0.4429 0.1775
Te 0.1129 0.5587 0.8154
Te 0.6140 0.5744 0.6982
Te 0.6167 0.0744 0.1933
Te 0.1996 0.2036 0.9942
Te 0.2553 0.7500 0.1254
Te 0.7461 0.7474 0.3736
Te 0.1213 0.0582 0.3149
Te 0.7837 0.7871 0.0009
Te 0.3855 0.9301 0.8150
Te 0.8913 0.9430 0.6859
Te 0.3773 0.4279 0.3144
Te 0.2087 0.7033 0.4941
Te 0.2599 0.2516 0.6235
Te 0.7884 0.2970 0.4980
Te 0.7436 0.2519 0.8739
Mo 0.5834 0.6036 0.1539
Mo 0.5443 0.3289 0.0843
Mo 0.2502 0.9787 0.5639
Mo 0.5901 0.1065 0.6518
Mo 0.2430 0.4768 0.0651
Mo 0.5515 0.8301 0.5863
Mo 0.7621 0.0215 0.4386
Mo 0.4108 0.3937 0.8497
Mo 0.4175 0.8933 0.3472
Ru 0.4527 0.1731 0.4124
Ru 0.4476 0.6710 0.9145
Ru 0.7598 0.5214 0.9342

Properties
**Space group**: No. 1
**Formation energy from raw total energies**: -0.281 eV/atom


Compound: CrTc2Pb
Source: Alexandria via LeMat-Bulk
Functional: PBEsol
Structure: optimized geometry

a b c (Å): 4.4348 4.4348 4.4348
angles (deg): 60.00 60.00 60.00
Last column: magnetic moment on the atom in μB.
Atoms (fractional coordinates):
Cr 0.5000 0.5000 0.5000  1.49
Tc 0.7500 0.7500 0.7500  0.01
Tc 0.0000 0.0000 0.0000  0.03
Pb 0.2500 0.2500 0.2500  0.00

Properties
**Formation enthalpy at 0 K**: 2.8 eV per formula unit
**Energy above the most stable polymorph in this dataset**: 73 kJ/mol of formula units
**Space group**: No. 216